Entry 1:
First-principles (GGA-PBEsol) data for crystalline CaTc2Ru at its relaxed geometry, as listed in Alexandria via LeMat-Bulk.

Results
Calculated formation energy, eV/atom: 0.745
Volume, Å³/f.u.: 63.2
E_tot, eV per atom: -7.965
Magnetization, μB/cell: 0.18

Cell: 3.759 3.759 8.952 Å, 90.00 90.00 90.00°
Space group I4/mmm (No. 139)
Inequivalent atoms, fractional coordinates:
Ca 0.000 0.000 0.000 (multiplicity 2)
Tc 0.000 0.500 0.250 (multiplicity 4)
Ru 0.000 0.000 0.500 (multiplicity 2)

---

Entry 2:
First-principles (GGA-PBEsol) data for crystalline BiP3Pb4O13 at its relaxed geometry, as listed in Alexandria via LeMat-Bulk.

Results
Formation energy without anion corrections, meV per atom: -1836.3
Volume, Å³/f.u.: 314.3
E_tot, eV per atom: -6.879
Magnetization, μB/cell: 0.00

Cell: 13.168 10.055 9.495 Å, 90.00 90.00 90.00°
Space group Pnma (No. 62)
Inequivalent atoms, fractional coordinates:
Bi 0.229 0.250 0.212 (multiplicity 4)
P 0.015 0.250 0.090 (multiplicity 4)
P 0.172 0.538 0.432 (multiplicity 8)
Pb 0.014 0.250 0.470 (multiplicity 4)
Pb 0.067 0.059 0.800 (multiplicity 8)
Pb 0.226 0.750 0.137 (multiplicity 4)
O 0.004 0.750 0.072 (multiplicity 4)
O 0.063 0.579 0.384 (multiplicity 8)
O 0.084 0.128 0.129 (multiplicity 8)
O 0.088 0.750 0.832 (multiplicity 4)
O 0.105 0.250 0.672 (multiplicity 4)
O 0.183 0.575 0.590 (multiplicity 8)
O 0.186 0.116 0.418 (multiplicity 8)
O 0.249 0.108 0.840 (multiplicity 8)

---

Entry 3:
First-principles (GGA-PBEsol) data for crystalline KRb2GeRh at its relaxed geometry, as listed in Alexandria via LeMat-Bulk.

Results
Calculated formation energy, eV/atom: 0.878
Volume, Å³/f.u.: 188.7
E_tot, eV per atom: -2.375
Magnetization, μB/cell: 2.35

Cell: 5.663 5.663 5.884 Å, 90.00 90.00 90.00°
Space group P4/mmm (No. 123)
Inequivalent atoms, fractional coordinates:
K 0.000 0.000 0.000 (multiplicity 1)
Rb 0.000 0.500 0.500 (multiplicity 2)
Ge 0.500 0.500 0.000 (multiplicity 1)
Rh 0.000 0.000 0.500 (multiplicity 1)

---

Entry 4:
First-principles (GGA-PBEsol) data for crystalline NdCuGe at its relaxed geometry, as listed in Alexandria via LeMat-Bulk.

Results
Calculated formation energy, eV/atom: -0.647
Volume, Å³/f.u.: 60.5
E_tot, eV per atom: -5.460
Magnetization, μB/cell: 0.00

Cell: 4.1593 4.1593 4.0379 Å, 90.00 90.00 120.00°
Space group P-6m2 (No. 187)
Inequivalent atoms, fractional coordinates:
Nd 0.0000 0.0000 0.0000 (multiplicity 1)
Cu 0.6667 0.3333 0.5000 (multiplicity 1)
Ge 0.3333 0.6667 0.5000 (multiplicity 1)

---

Entry 5:
First-principles (GGA-PBEsol) data for crystalline AlZn2Tc at its relaxed geometry, as listed in Alexandria via LeMat-Bulk.

Results
Calculated formation energy, eV/atom: 0.153
Volume, Å³/f.u.: 57.5
E_tot, eV per atom: -4.477
Magnetization, μB/cell: 0.00

Cell: 3.741 3.798 8.092 Å, 90.00 90.00 90.00°
Space group Cmmm (No. 65)
Inequivalent atoms, fractional coordinates:
Al 0.000 0.000 0.000 (multiplicity 2)
Zn 0.000 0.500 0.256 (multiplicity 4)
Tc 0.000 0.000 0.500 (multiplicity 2)

---

Entry 6:
First-principles (GGA-PBEsol) data for crystalline KSrAs2 at its relaxed geometry, as listed in Alexandria via LeMat-Bulk.

Results
Calculated formation energy, eV/atom: -0.261
Volume, Å³/f.u.: 111.0
E_tot, eV per atom: -3.558
Distance to the lowest polymorph of the same formula, eV/atom: 0.434
Magnetization, μB/cell: 0.00

Cell: 3.117 5.617 6.339 Å, 90.00 90.00 90.00°
Space group Pmmm (No. 47)
Inequivalent atoms, fractional coordinates:
K 0.000 0.000 0.000 (multiplicity 1)
Sr 0.500 0.500 0.500 (multiplicity 1)
As 0.000 0.000 0.500 (multiplicity 1)
As 0.500 0.500 0.000 (multiplicity 1)

---

Entry 7:
First-principles (GGA-PBEsol) data for crystalline TlNiBr2 at its relaxed geometry, as listed in Alexandria via LeMat-Bulk.

Results
Formation energy without anion corrections, meV per atom: 188.1
Volume, Å³/f.u.: 93.9
E_tot, eV per atom: -2.944
Distance to the lowest polymorph of the same formula, eV/atom: 0.000
Magnetization, μB/cell: 1.01

Cell: 5.128 5.128 3.568 Å, 90.00 90.00 90.00°
Space group P4/mmm (No. 123)
Inequivalent atoms, fractional coordinates:
Tl 0.000 0.000 0.000 (multiplicity 1)
Ni 0.500 0.500 0.000 (multiplicity 1)
Br 0.000 0.500 0.500 (multiplicity 2)

---

Entry 8:
First-principles (GGA-PBEsol) data for crystalline Te4PAu at its relaxed geometry, as listed in Alexandria via LeMat-Bulk.

Results
Formation energy without anion corrections, meV per atom: 906.3
Volume, Å³/f.u.: 157.6
E_tot, eV per atom: -3.064
Magnetization, μB/cell: 0.00

Cell: 8.574 8.574 8.574 Å, 90.00 90.00 90.00°
Space group F-43m (No. 216)
Inequivalent atoms, fractional coordinates:
Te 0.125 0.125 0.125 (multiplicity 16)
P 0.250 0.250 0.750 (multiplicity 4)
Au 0.000 0.000 0.500 (multiplicity 4)

---

Entry 9:
First-principles (GGA-PBEsol) data for crystalline Nb3RhSe at its relaxed geometry, as listed in Alexandria via LeMat-Bulk.

Results
Formation energy without anion corrections, meV per atom: 1022.4
Volume, Å³/f.u.: 109.4
E_tot, eV per atom: -7.868
Magnetization, μB/cell: 0.00

Cell: 4.783 4.783 4.783 Å, 90.00 90.00 90.00°
Space group Pm-3m (No. 221)
Inequivalent atoms, fractional coordinates:
Nb 0.000 0.000 0.500 (multiplicity 3)
Rh 0.000 0.000 0.000 (multiplicity 1)
Se 0.500 0.500 0.500 (multiplicity 1)

---

Entry 10:
First-principles (GGA-PBEsol) data for crystalline TlAsPb2 at its relaxed geometry, as listed in Alexandria via LeMat-Bulk.

Results
Calculated formation energy, eV/atom: 0.057
Volume, Å³/f.u.: 115.2
E_tot, eV per atom: -3.877
Distance to the lowest polymorph of the same formula, eV/atom: 0.018
Magnetization, μB/cell: 0.00

Cell: 3.9935 3.9935 25.0149 Å, 90.00 90.00 120.00°
Space group R-3m (No. 166, hexagonal axes)
Inequivalent atoms, fractional coordinates:
Tl 0.0000 0.0000 0.0000 (multiplicity 3)
As 0.0000 0.0000 0.5000 (multiplicity 3)
Pb 0.0000 0.0000 0.2367 (multiplicity 6)

---

Entry 11:
First-principles (GGA-PBEsol) data for crystalline MoAuN2F at its relaxed geometry, as listed in Alexandria via LeMat-Bulk.

Results
Formation energy without anion corrections, meV per atom: 1533.4
Volume, Å³/f.u.: 65.2
E_tot, eV per atom: -5.401
Magnetization, μB/cell: 2.31

Cell: 3.997 3.997 4.081 Å, 90.00 90.00 90.00°
Space group P4/mmm (No. 123)
Inequivalent atoms, fractional coordinates:
Mo 0.000 0.000 0.000 (multiplicity 1)
Au 0.500 0.500 0.500 (multiplicity 1)
N 0.000 0.500 0.500 (multiplicity 2)
F 0.500 0.500 0.000 (multiplicity 1)

---

Entry 12:
First-principles (GGA-PBEsol) data for crystalline LaIn3 at its relaxed geometry, as listed in Alexandria via LeMat-Bulk.

Results
Calculated formation energy, eV/atom: -0.326
Volume, Å³/f.u.: 106.3
E_tot, eV per atom: -3.900
Magnetization, μB/cell: 0.00

Cell: 3.837 3.837 7.223 Å, 90.00 90.00 90.00°
Space group P4/mmm (No. 123)
Inequivalent atoms, fractional coordinates:
La 0.000 0.000 0.000 (multiplicity 1)
In 0.000 0.000 0.500 (multiplicity 1)
In 0.500 0.500 0.283 (multiplicity 2)